DFT (PBE) results for a relaxed structure of Tb2HoAs3.

Lattice parameters (Å, degrees): 4.1219 4.1219 10.0871 90.00 90.00 120.00
Closest atoms and distances in Å follow each position.
Element x y z (fractional)
Tb: 0.3333 0.6667 0.3326  6 As 2.92
Tb: 0.6667 0.3333 0.6674  6 As 2.92
Ho: 0.0000 0.0000 0.0000  6 As 2.90
As: 0.0000 0.0000 0.5000  6 Tb 2.92
As: 0.3333 0.6667 0.8353  3 Ho 2.90, 3 Tb 2.92
As: 0.6667 0.3333 0.1647  3 Ho 2.90, 3 Tb 2.92

***

DFT (PBE) results for a relaxed structure of CuSn2Ge.

Lattice parameters (Å, degrees): 4.9733 4.9733 4.9733 60.00 60.00 60.00
Closest atoms and distances in Å follow each position.
Element x y z (fractional)
Cu: 0.0000 0.0000 0.0000  4 Ge 3.05, 4 Sn 3.05
Sn: 0.2500 0.2500 0.2500  4 Sn 3.05, 4 Cu 3.05
Sn: 0.5000 0.5000 0.5000  4 Ge 3.05, 4 Sn 3.05
Ge: 0.7500 0.7500 0.7500  4 Cu 3.05, 4 Sn 3.05

***

DFT (PBE) results for a relaxed structure of Li6CdAu.

Lattice parameters (Å, degrees): 4.4534 4.4534 6.3086 90.00 90.00 90.00
Closest atoms and distances in Å follow each position.
Element x y z (fractional)
Li: 0.0000 0.0000 0.0000  8 Li 2.68
Li: 0.0000 0.5000 0.2363  5 Li 2.68-2.98, 2 Au 2.68, 2 Cd 2.78
Li: 0.0000 0.5000 0.7637  5 Li 2.68-2.98, 2 Au 2.68, 2 Cd 2.78
Li: 0.5000 0.0000 0.2363  5 Li 2.68-2.98, 2 Au 2.68, 2 Cd 2.78
Li: 0.5000 0.0000 0.7637  5 Li 2.68-2.98, 2 Au 2.68, 2 Cd 2.78
Li: 0.5000 0.5000 0.5000  8 Li 2.78
Cd: 0.0000 0.0000 0.5000  8 Li 2.78
Au: 0.5000 0.5000 0.0000  8 Li 2.68

***

DFT (PBE) results for a relaxed structure of ErBeGa.

Lattice parameters (Å, degrees): 4.3959 4.3959 4.3959 60.00 60.00 60.00
Closest atoms and distances in Å follow each position.
Element x y z (fractional)
Er: 0.0000 0.0000 0.0000  4 Ga 2.69
Be: 0.5000 0.5000 0.5000  4 Ga 2.69
Ga: 0.7500 0.7500 0.7500  4 Be 2.69, 4 Er 2.69

Output
Distance to the lowest polymorph of the same formula, meV/atom: 0.0

***

DFT (PBE) results for a relaxed structure of Gd2Tm3Ga3.

Lattice parameters (Å, degrees): 5.4362 6.2927 6.2927 69.64 90.00 90.00
Closest atoms and distances in Å follow each position.
Element x y z (fractional)
Gd: 0.0000 0.0000 0.0000  6 Tm 3.11-3.35, 4 Ga 3.22
Gd: 0.5000 0.4084 0.4084  4 Ga 2.95-3.12
Tm: 0.0000 0.4946 0.9966  3 Ga 2.96-3.09, 2 Gd 3.11-3.19
Tm: 0.0000 0.9966 0.4946  3 Ga 2.96-3.09, 2 Gd 3.11-3.19
Tm: 0.5000 0.8096 0.8096  4 Ga 3.08-3.38, 4 Tm 3.33, 2 Gd 3.35
Ga: 0.0000 0.5189 0.5189  2 Gd 2.95, 2 Tm 2.96
Ga: 0.5000 0.2903 0.9335  1 Ga 2.56
Ga: 0.5000 0.9335 0.2903  1 Ga 2.56

Output
Distance to the lowest polymorph of the same formula, meV/atom: 137.4

***

DFT (PBE) results for a relaxed structure of Sm3ThN4.

Lattice parameters (Å, degrees): 5.0786 5.0786 5.0786 90.00 90.00 90.00
Closest atoms and distances in Å follow each position.
Element x y z (fractional)
Sm: 0.0000 0.0000 0.5000  6 N 2.54
Sm: 0.0000 0.5000 0.0000  6 N 2.54
Sm: 0.5000 0.0000 0.0000  6 N 2.54
Th: 0.5000 0.5000 0.5000  6 N 2.54
N: 0.0000 0.0000 0.0000  6 Sm 2.54
N: 0.0000 0.5000 0.5000  2 Th 2.54, 4 Sm 2.54
N: 0.5000 0.0000 0.5000  2 Th 2.54, 4 Sm 2.54
N: 0.5000 0.5000 0.0000  2 Th 2.54, 4 Sm 2.54

***

DFT (PBE) results for a relaxed structure of ThCd.

Lattice parameters (Å, degrees): 3.4020 3.4020 5.5568 90.00 90.00 120.00
Closest atoms and distances in Å follow each position.
Element x y z (fractional)
Th: 0.0000 0.0000 0.0000  6 Th 3.40, 6 Cd 3.40
Cd: 0.3333 0.6667 0.5000  6 Cd 3.40, 6 Th 3.40

Output
Formation energy from the elements, eV/atom: -0.024

***

DFT (PBE) results for a relaxed structure of Zr4Ta2C3S3.

Lattice parameters (Å, degrees): 5.8485 5.8485 12.4858 103.43 103.43 60.08
Closest atoms and distances in Å follow each position.
Element x y z (fractional)
Zr: 0.0391 0.1962 0.1027  3 C 2.32-2.33
Zr: 0.1283 0.2985 0.3973  3 C 2.32-2.33
Zr: 0.1962 0.0391 0.6027  3 C 2.32-2.33
Zr: 0.2985 0.1283 0.8973  3 C 2.32-2.33
Zr: 0.7015 0.8717 0.1027  3 C 2.32-2.33
Zr: 0.8038 0.9609 0.3973  3 C 2.32-2.33
Zr: 0.8717 0.7015 0.6027  3 C 2.32-2.33
Zr: 0.9609 0.8038 0.8973  3 C 2.32-2.33
Ta: 0.3573 0.5301 0.0908  3 C 2.20-2.21
Ta: 0.4699 0.6427 0.4092  3 C 2.20-2.21
Ta: 0.5301 0.3573 0.5908  3 C 2.20-2.21
Ta: 0.6427 0.4699 0.9092  3 C 2.20-2.21
C: 0.0000 0.5000 0.0000  2 Ta 2.20, 4 Zr 2.32
C: 0.1782 0.6609 0.5000  2 Ta 2.21, 4 Zr 2.32-2.33
C: 0.3391 0.8218 0.0000  2 Ta 2.21, 4 Zr 2.32-2.33
C: 0.5000 0.0000 0.5000  2 Ta 2.20, 4 Zr 2.32
C: 0.6609 0.1782 0.0000  2 Ta 2.21, 4 Zr 2.32-2.33
C: 0.8218 0.3391 0.5000  2 Ta 2.21, 4 Zr 2.32-2.33
S: 0.1006 0.8994 0.2500  2 Ta 2.65, 4 Zr 2.66
S: 0.2654 0.4171 0.7505  2 Ta 2.66-2.69, 4 Zr 2.67-2.69
S: 0.4171 0.2654 0.2505  2 Ta 2.66-2.69, 4 Zr 2.67-2.69
S: 0.5829 0.7346 0.7495  2 Ta 2.66-2.69, 4 Zr 2.67-2.69
S: 0.7346 0.5829 0.2495  2 Ta 2.66-2.69, 4 Zr 2.67-2.69
S: 0.8994 0.1006 0.7500  2 Ta 2.65, 4 Zr 2.66

***

no.,total DFT energy (no corrections) (eV/atom)
1,-6.168
2,-3.756
3,-2.227
4,-3.851
5,-4.231
6,-8.398
7,-4.178
8,-9.304